(1)
! Ca2Co2Cu PBE optimized geometry; values from VASP
&SYSTEM
  ibrav = 0, nat = 10, ntyp = 3
/
ATOMIC_SPECIES
Cu 63.55 Cu.upf
Ca 40.08 Ca.upf
Co 58.93 Co.upf
CELL_PARAMETERS angstrom
-0.146 1.707 -6.272
-2.047 -5.967 -1.576
-4.165 1.309 0.453
ATOMIC_POSITIONS crystal
Cu 0.000 0.000 0.000
Cu 0.500 0.500 0.000
Ca 0.319 0.181 0.500
Ca 0.181 0.681 0.500
Ca 0.681 0.819 0.500
Ca 0.819 0.319 0.500
Co 0.621 0.121 0.000
Co 0.879 0.621 0.000
Co 0.379 0.879 0.000
Co 0.121 0.379 0.000
! - space-group type = P4/mbm
! - mass density (g/cm³) = 4.682
! - E_form (eV/atom) = 0.20

=====

(2)
! CaCoCu2 PBE optimized geometry; values from VASP
&SYSTEM
  ibrav = 0, nat = 4, ntyp = 3
/
ATOMIC_SPECIES
Cu 63.55 Cu.upf
Co 58.93 Co.upf
Ca 40.08 Ca.upf
CELL_PARAMETERS angstrom
-1.607 -2.008 3.322
1.836 -2.167 -0.422
4.046 1.773 3.028
ATOMIC_POSITIONS crystal
Cu 0.000 0.116 0.965
Cu 0.500 0.118 0.218
Co 0.500 0.729 0.839
Ca 0.000 0.537 0.478
! - space-group type = Pm
! - mass density (g/cm³) = 5.877
! - E_form (eV/atom) = 0.30

=====

(3)
! CaCoCu2 PBE optimized geometry; values from VASP
&SYSTEM
  ibrav = 0, nat = 4, ntyp = 3
/
ATOMIC_SPECIES
Cu 63.55 Cu.upf
Co 58.93 Co.upf
Ca 40.08 Ca.upf
CELL_PARAMETERS angstrom
-4.002 -1.651 -0.929
-0.730 -4.355 0.331
-2.555 -1.575 3.255
ATOMIC_POSITIONS crystal
Cu 0.000 0.000 0.000
Cu 0.750 0.750 0.750
Co 0.250 0.250 0.250
Ca 0.500 0.500 0.500
! - space-group type = F-43m
! - mass density (g/cm³) = 6.116
! - E_form (eV/atom) = 0.37

=====

(4)
! CaCoCu PBE optimized geometry; values from VASP
&SYSTEM
  ibrav = 0, nat = 3, ntyp = 3
/
ATOMIC_SPECIES
Ca 40.08 Ca.upf
Co 58.93 Co.upf
Cu 63.55 Cu.upf
CELL_PARAMETERS angstrom
4.631 0.000 0.000
2.316 4.011 0.000
2.316 1.337 3.782
ATOMIC_POSITIONS crystal
Ca 0.750 0.750 0.750
Co 0.000 0.000 0.000
Cu 0.500 0.500 0.500
! - space-group type = F-43m
! - mass density (g/cm³) = 3.843
! - E_form (eV/atom) = 1.05

=====

(5)
! CaCoCu PBE optimized geometry; values from VASP
&SYSTEM
  ibrav = 0, nat = 6, ntyp = 3
/
ATOMIC_SPECIES
Ca 40.08 Ca.upf
Cu 63.55 Cu.upf
Co 58.93 Co.upf
CELL_PARAMETERS angstrom
-2.272 1.672 2.844
3.796 -1.205 3.730
2.344 4.998 1.763
ATOMIC_POSITIONS crystal
Ca 0.611 0.303 0.277
Ca 0.389 0.697 0.723
Cu 0.095 0.706 0.308
Cu 0.905 0.294 0.692
Co 0.279 0.095 0.943
Co 0.721 0.905 0.057
! - space-group type = P-1
! - mass density (g/cm³) = 4.794
! - E_form (eV/atom) = 0.06

=====

(6)
! CaCo2Cu PBE optimized geometry; values from VASP
&SYSTEM
  ibrav = 0, nat = 4, ntyp = 3
/
ATOMIC_SPECIES
Cu 63.55 Cu.upf
Ca 40.08 Ca.upf
Co 58.93 Co.upf
CELL_PARAMETERS angstrom
4.019 0.010 0.020
2.000 3.486 0.020
1.978 1.149 5.016
ATOMIC_POSITIONS crystal
Cu 0.449 0.449 0.652
Ca 0.253 0.253 0.241
Co 0.061 0.061 0.818
Co 0.737 0.737 0.789
! - space-group type = R3m
! - mass density (g/cm³) = 5.254
! - E_form (eV/atom) = 0.07

=====

(7)
! CaCo2Cu PBE optimized geometry; values from VASP
&SYSTEM
  ibrav = 0, nat = 4, ntyp = 3
/
ATOMIC_SPECIES
Co 58.93 Co.upf
Ca 40.08 Ca.upf
Cu 63.55 Cu.upf
CELL_PARAMETERS angstrom
0.000 3.094 3.094
3.094 0.000 3.094
3.094 3.094 0.000
ATOMIC_POSITIONS crystal
Co 0.750 0.750 0.750
Co 0.250 0.250 0.250
Ca 0.000 0.000 0.000
Cu 0.500 0.500 0.500
! - space-group type = Fm-3m
! - mass density (g/cm³) = 6.211
! - E_form (eV/atom) = 0.56

=====

| no. | VASP energy (eV for the cell shown) | magnetization (μB per cell) |
| --- | --- | --- |
| 1 | -42.60 | 3.2 |
| 2 | -16.11 | 1.2 |
| 3 | -15.82 | 0.3 |
| 4 | -10.05 | 1.7 |
| 5 | -26.06 | 1.2 |
| 6 | -20.05 | 2.5 |
| 7 | -18.08 | 2.2 |